Below is a geometry-optimized LaY2Rh3 structure, with properties calculated at the PBE-GGA level.

Computed properties:
crystal system	trigonal
energy of formation	-762.4	meV/atom
calculated volume	21.281	Å³/atom

abc: 4.9383 4.9383 6.0459
angles: 90.00 90.00 120.00
Closest atoms and distances in Å follow each position.
Fractional positions:
Y: 0.3333 0.6667 0.6617  8 Rh 2.94-3.11
Rh: 0.3333 0.6667 0.1753  5 Y 2.94-3.11, 3 La 3.04
Rh: 0.6667 0.3333 0.8247  5 Y 2.94-3.11, 3 La 3.04
La: 0.0000 0.0000 0.0000  8 Rh 3.02-3.04
Y: 0.6667 0.3333 0.3383  8 Rh 2.94-3.11
Rh: 0.0000 0.0000 0.5000  6 Y 3.01, 2 La 3.02


Below is a geometry-optimized Ba2CuRe structure, with properties calculated at the PBE-GGA level.

Computed properties:
crystal system	tetragonal
energy of formation	720.5	meV/atom
calculated volume	29.510	Å³/atom

abc: 3.5520 3.5520 9.3556
angles: 90.00 90.00 90.00
Closest atoms and distances in Å follow each position.
Fractional positions:
Ba: 0.5000 0.5000 0.3460  1 Re 2.93
Cu: 0.0000 0.0000 0.5845  4 Re 2.61
Ba: 0.0000 0.0000 0.9099  1 Cu 3.04
Re: 0.5000 0.5000 0.6596  4 Cu 2.61


Below is a geometry-optimized Dy3CuS6 structure, with properties calculated at the PBE-GGA level.

Computed properties:
crystal system	orthorhombic
uncorrected formation energy	-1.477	eV per atom
calculated volume	22.304	Å³/atom

abc: 6.6021 8.2724 8.2724
angles: 99.12 90.00 90.00
Closest atoms and distances in Å follow each position.
Fractional positions:
S: 0.6928 0.9068 0.4303  1 Cu 2.26
Dy: 0.9797 0.7180 0.9166  7 S 2.71-2.93
S: 0.6928 0.5697 0.0932  1 Cu 2.26
S: 0.1864 0.3709 0.3084  4 Dy 2.71-2.77
S: 0.1928 0.0932 0.5697  1 Cu 2.26
S: 0.1785 0.0381 0.9619  1 Cu 2.31
Dy: 0.9797 0.0834 0.2820  7 S 2.71-2.93
Dy: 0.4797 0.9166 0.7180  7 S 2.71-2.93
S: 0.6785 0.9619 0.0381  1 Cu 2.31
Cu: 0.5222 0.7981 0.2019  4 S 2.26-2.31
S: 0.1928 0.4303 0.9068  1 Cu 2.26
Dy: 0.3902 0.3960 0.6040  7 S 2.76-2.97
Dy: 0.8902 0.6040 0.3960  7 S 2.76-2.97
Dy: 0.4797 0.2820 0.0834  7 S 2.71-2.93
S: 0.6768 0.2144 0.7856  1 Cu 2.29
S: 0.1768 0.7856 0.2144  1 Cu 2.29
S: 0.6864 0.6291 0.6916  4 Dy 2.71-2.77
S: 0.6864 0.3084 0.3709  4 Dy 2.71-2.77
Cu: 0.0222 0.2019 0.7981  4 S 2.26-2.31
S: 0.1864 0.6916 0.6291  4 Dy 2.71-2.77


Below is a geometry-optimized TaCuNi2 structure, with properties calculated at the PBE-GGA level.

Computed properties:
crystal system	trigonal
energy of formation	153.7	meV/atom
calculated volume	13.346	Å³/atom

abc: 8.5894 8.5894 8.5894
angles: 18.10 18.10 18.10
Closest atoms and distances in Å follow each position.
Fractional positions:
Ta: 0.5024 0.5024 0.5024  3 Ni 2.67, 6 Ta 2.70, 3 Cu 2.80
Ni: 0.2545 0.2545 0.2545  9 Ni 2.52-2.70, 3 Ta 2.67
Ni: 0.9991 0.9991 0.9991  9 Ni 2.52-2.70, 3 Cu 2.52
Cu: 0.7440 0.7440 0.7440  3 Ni 2.52, 6 Cu 2.70, 3 Ta 2.80


Here are the calculated total energy numbers, same order: -44.48 -17.51 -114.87 -26.90 (eV per cell).